[1]
{
  "formula": "Ti5Al11",
  "functional": "PBE",
  "state": "relaxed",
  "lattice_angstrom": [[-1.187, 3.684, -0.648], [-2.331, -1.260, -2.895], [-12.297, -2.064, 10.799]],
  "species": ["Al", "Al", "Al", "Al", "Al", "Al", "Al", "Al", "Al", "Al", "Al", "Ti", "Ti", "Ti", "Ti", "Ti"],
  "frac_coords": [[0.000, 0.500, 0.250], [0.500, 0.000, 0.749], [0.000, 0.000, 0.624], [0.500, 0.000, 0.250], [0.000, 0.500, 0.498], [0.000, 0.500, 0.749], [0.000, 0.000, 0.374], [0.000, 0.500, 0.003], [0.500, 0.000, 0.498], [0.500, 0.500, 0.876], [0.500, 0.000, 0.003], [0.500, 0.500, 0.134], [0.500, 0.500, 0.376], [0.000, 0.000, 0.120], [0.000, 0.000, 0.880], [0.500, 0.500, 0.616]],
  "delta_e_f_ev_per_atom": -0.41,
  "spacegroup": "P4mm",
  "energy_ev_per_atom": -5.450,
  "magnetic_moment_mub_per_fu": 0.00
}

---

[2]
{
  "formula": "Ho2PuUP4",
  "functional": "PBE",
  "state": "relaxed",
  "lattice_angstrom": [[3.960, 0.000, 0.000], [0.000, 6.888, 0.126], [0.000, -2.401, 6.425]],
  "species": ["Ho", "Ho", "U", "P", "P", "P", "P", "Pu"],
  "frac_coords": [[0.500, 0.000, 0.500], [0.000, 0.500, 0.500], [0.500, 0.500, 0.000], [0.000, 0.255, 0.754], [0.500, 0.252, 0.245], [0.000, 0.745, 0.246], [0.500, 0.748, 0.755], [0.000, 0.000, 0.000]],
  "delta_e_f_ev_per_atom": -1.32,
  "spacegroup": "P2/m",
  "energy_ev_per_atom": -8.376,
  "magnetic_moment_mub_per_fu": 3.44
}

---

[3]
{
  "formula": "V2GaAgRh",
  "functional": "PBE",
  "state": "relaxed",
  "lattice_angstrom": [[4.697, 0.000, 0.000], [0.000, 4.701, 0.000], [0.000, 0.000, 4.697]],
  "species": ["V", "V", "Ga", "Ag", "Rh"],
  "frac_coords": [[0.500, 0.000, 0.000], [0.000, 0.000, 0.500], [0.000, 0.500, 0.000], [0.500, 0.500, 0.500], [0.000, 0.000, 0.000]],
  "delta_e_f_ev_per_atom": 0.68,
  "spacegroup": "P4/mmm",
  "energy_ev_per_atom": -5.613,
  "magnetic_moment_mub_per_fu": 4.71
}

---

[4]
{
  "formula": "Ba2TlI",
  "functional": "PBE",
  "state": "relaxed",
  "lattice_angstrom": [[4.176, 0.000, 0.000], [0.000, 4.176, 0.000], [0.000, 0.000, 9.502]],
  "species": ["Tl", "Ba", "Ba", "I"],
  "frac_coords": [[0.500, 0.500, 0.000], [0.000, 0.000, 0.230], [0.000, 0.000, 0.770], [0.500, 0.500, 0.500]],
  "spacegroup": "P4/mmm",
  "energy_ev_per_atom": -2.795,
  "magnetic_moment_mub_per_fu": 0.00,
  "relative_energy_mev_per_atom": 0.0
}

---

[5]
{
  "formula": "Tl8In2Pb3",
  "functional": "PBE",
  "state": "relaxed",
  "lattice_angstrom": [[6.483, 0.000, 0.775], [0.000, 9.314, 0.000], [-1.952, -4.657, 6.832]],
  "species": ["Tl", "Tl", "Tl", "Tl", "Tl", "Tl", "Tl", "Tl", "Pb", "Pb", "Pb", "In", "In"],
  "frac_coords": [[0.212, 0.790, 0.581], [0.543, 0.567, 0.750], [0.788, 0.210, 0.419], [0.457, 0.433, 0.250], [0.543, 0.182, 0.750], [0.129, 0.411, 0.821], [0.457, 0.818, 0.250], [0.871, 0.589, 0.179], [0.000, 0.178, 0.000], [0.500, 0.000, 0.000], [0.000, 0.822, 0.000], [0.260, 0.191, 0.383], [0.740, 0.809, 0.617]],
  "delta_e_f_ev_per_atom": 0.07,
  "spacegroup": "C2/m",
  "energy_ev_per_atom": -2.662,
  "magnetic_moment_mub_per_fu": 0.00,
  "relative_energy_mev_per_atom": 0.0
}

---

[6]
{
  "formula": "AlTl2Cr",
  "functional": "PBE",
  "state": "relaxed",
  "lattice_angstrom": [[-0.861, -0.613, -4.453], [3.026, -3.437, -0.112], [-3.081, -2.745, 0.974]],
  "species": ["Al", "Tl", "Tl", "Cr"],
  "frac_coords": [[0.500, 0.000, 0.500], [0.000, 0.000, 0.000], [0.500, 0.500, 0.000], [0.000, 0.500, 0.500]],
  "delta_e_f_ev_per_atom": 0.50,
  "spacegroup": "P4/mmm",
  "energy_ev_per_atom": -4.026,
  "magnetic_moment_mub_per_fu": 3.98,
  "relative_energy_mev_per_atom": 183.3
}